First-principles (PBE) data for a relaxed RbTl3F crystal, as listed in the Alexandria database.

a b c (Å): 5.519 5.519 5.519
angles (deg): 90.00 90.00 90.00
Space group Pm-3m (No. 221)
One atom of each set of equivalent atoms:
1 Rb 0.000 0.000 0.000 x1
2 Tl 0.000 0.500 0.500 x3
3 F 0.500 0.500 0.500 x1

Properties
The calculation puts the distance to the lowest polymorph of the same formula at 0 meV per atom. The value obtained for the total energy is -2.59 eV/atom. The size of the total moment is 0.00 μB/cell. As for the uncorrected formation energy: -0.602 eV/atom.

***

First-principles (PBE) data for a relaxed Rb5TlF5 crystal, as listed in the Alexandria database.

a b c (Å): 13.070 5.779 8.245
angles (deg): 90.00 108.37 90.00
Space group C2/m (No. 12)
One atom of each set of equivalent atoms:
1 Rb 0.000 0.000 0.000 x2
2 Rb 0.172 0.500 0.348 x4
3 Rb 0.174 0.500 0.826 x4
4 Tl 0.000 0.000 0.500 x2
5 F 0.000 0.500 0.500 x2
6 F 0.165 0.000 0.334 x4
7 F 0.170 0.000 0.833 x4

Properties
The value obtained for the total energy is -3.70 eV/atom. The size of the total moment is 1.08 μB/cell. As for the uncorrected formation energy: -2.198 eV/atom.

***

First-principles (PBE) data for a relaxed Rb3TlF7 crystal, as listed in the Alexandria database.

a b c (Å): 9.344 9.299 6.943
angles (deg): 90.00 128.27 90.00
Space group Cm (No. 8)
One atom of each set of equivalent atoms:
1 Rb 0.000 0.000 0.000 x2
2 Rb 0.000 0.270 0.551 x4
3 Tl 0.046 0.500 0.104 x2
4 F 0.110 0.264 0.236 x4
5 F 0.181 0.500 0.938 x2
6 F 0.319 0.500 0.487 x2
7 F 0.354 0.163 0.804 x4
8 F 0.378 0.000 0.222 x2

Properties
The value obtained for the total energy is -3.87 eV/atom. The size of the total moment is 2.16 μB/cell. As for the uncorrected formation energy: -2.197 eV/atom.

***

First-principles (PBE) data for a relaxed Rb5Tl2F12 crystal, as listed in the Alexandria database.

a b c (Å): 14.935 7.105 8.813
angles (deg): 90.00 106.83 90.00
Space group C2/m (No. 12)
One atom of each set of equivalent atoms:
1 Rb 0.000 0.000 0.000 x2
2 Rb 0.198 0.500 0.868 x4
3 Rb 0.199 0.500 0.329 x4
4 Tl 0.000 0.248 0.500 x4
5 F 0.000 0.500 0.336 x4
6 F 0.002 0.000 0.664 x4
7 F 0.147 0.261 0.570 x8
8 F 0.153 0.248 0.076 x8

Properties
The calculation puts the distance to the lowest polymorph of the same formula at 0 meV per atom. The value obtained for the total energy is -3.92 eV/atom. The size of the total moment is 2.11 μB/cell. As for the uncorrected formation energy: -2.234 eV/atom.

***

First-principles (PBE) data for a relaxed RbTlF3 crystal, as listed in the Alexandria database.

a b c (Å): 4.658 4.658 22.006
angles (deg): 90.00 90.00 90.00
Space group I-4m2 (No. 119)
One atom of each set of equivalent atoms:
1 Rb 0.000 0.000 0.000 x2
2 Rb 0.000 0.500 0.250 x2
3 Tl 0.000 0.500 0.643 x4
4 F 0.000 0.000 0.309 x4
5 F 0.000 0.251 0.110 x8

Properties
The value obtained for the total energy is -3.53 eV/atom. The size of the total moment is 2.62 μB/cell. As for the uncorrected formation energy: -1.743 eV/atom.

***

First-principles (PBE) data for a relaxed RbTlF3 crystal, as listed in the Alexandria database.

a b c (Å): 4.619 6.950 7.015
angles (deg): 90.00 106.93 90.00
Space group P2_1/m (No. 11)
One atom of each set of equivalent atoms:
1 Rb 0.189 0.250 0.402 x2
2 Tl 0.495 0.250 0.965 x2
3 F 0.002 0.750 0.027 x2
4 F 0.377 0.520 0.736 x4

Properties
The value obtained for the total energy is -3.93 eV/atom. The size of the total moment is 0.00 μB/cell. As for the uncorrected formation energy: -2.136 eV/atom.

***

First-principles (PBE) data for a relaxed RbTlF3 crystal, as listed in the Alexandria database.

a b c (Å): 3.786 6.904 8.062
angles (deg): 91.63 103.51 90.00
Space group P1 (No. 1)
One atom of each set of equivalent atoms:
1 Rb 0.000 0.000 0.000 x1
2 Rb 0.237 0.962 0.477 x1
3 Tl 0.356 0.429 0.718 x1
4 Tl 0.619 0.523 0.240 x1
5 F 0.039 0.596 0.077 x1
6 F 0.177 0.366 0.357 x1
7 F 0.533 0.277 0.065 x1
8 F 0.611 0.847 0.222 x1
9 F 0.753 0.633 0.509 x1
10 F 0.839 0.160 0.682 x1

Properties
The value obtained for the total energy is -3.99 eV/atom. The size of the total moment is 0.00 μB/cell. As for the uncorrected formation energy: -2.198 eV/atom.

***

First-principles (PBE) data for a relaxed RbTlF3 crystal, as listed in the Alexandria database.

a b c (Å): 12.160 12.160 12.160
angles (deg): 90.00 90.00 90.00
Space group Fd-3m (No. 227, origin choice 2)
One atom of each set of equivalent atoms:
1 Rb 0.000 0.000 0.000 x16
2 Tl 0.000 0.000 0.500 x16
3 F 0.090 0.375 0.875 x48

Properties
The value obtained for the total energy is -3.89 eV/atom. The size of the total moment is 0.00 μB/cell. As for the uncorrected formation energy: -2.100 eV/atom.

***

First-principles (PBE) data for a relaxed Rb2TlF5 crystal, as listed in the Alexandria database.

a b c (Å): 10.515 9.969 6.210
angles (deg): 90.00 124.89 90.00
Space group Cm (No. 8)
One atom of each set of equivalent atoms:
1 Rb 0.000 0.229 0.000 x4
2 Tl 0.169 0.000 0.715 x2
3 F 0.095 0.000 0.313 x2
4 F 0.192 0.210 0.818 x4
5 F 0.417 0.000 0.908 x2
6 F 0.457 0.500 0.690 x2

Properties
The value obtained for the total energy is -4.00 eV/atom. The size of the total moment is 0.00 μB/cell. As for the uncorrected formation energy: -2.289 eV/atom.

***

First-principles (PBE) data for a relaxed RbTmTl2F6 crystal, as listed in the Alexandria database.

a b c (Å): 6.497 6.923 11.370
angles (deg): 90.00 123.92 90.00
Space group P2_1/c (No. 14)
One atom of each set of equivalent atoms:
1 Rb 0.000 0.000 0.000 x2
2 Tm 0.500 0.000 0.500 x2
3 Tl 0.231 0.039 0.740 x4
4 F 0.182 0.157 0.463 x4
5 F 0.274 0.742 0.427 x4
6 F 0.395 0.063 0.287 x4

Properties
The value obtained for the total energy is -5.09 eV/atom. The size of the total moment is 0.00 μB/cell. As for the uncorrected formation energy: -2.952 eV/atom.

***

First-principles (PBE) data for a relaxed RbUTlF6 crystal, as listed in the Alexandria database.

a b c (Å): 6.9957 6.9957 9.5443
angles (deg): 90.00 90.00 120.00
Space group P-31c (No. 163)
One atom of each set of equivalent atoms:
1 Rb 0.3333 0.6667 0.2500 x2
2 U 0.3333 0.6667 0.7500 x2
3 Tl 0.0000 0.0000 0.0000 x2
4 F 0.0709 0.3994 0.6276 x12

Properties
The value obtained for the total energy is -5.93 eV/atom. The size of the total moment is 4.00 μB/cell. As for the uncorrected formation energy: -3.060 eV/atom.

***

First-principles (PBE) data for a relaxed RbUTl2F8 crystal, as listed in the Alexandria database.

a b c (Å): 4.722 8.714 6.761
angles (deg): 90.00 95.44 90.00
Space group P2/m (No. 10)
One atom of each set of equivalent atoms:
1 Rb 0.000 0.000 0.000 x1
2 U 0.000 0.500 0.000 x1
3 Tl 0.500 0.222 0.500 x2
4 F 0.102 0.320 0.812 x4
5 F 0.387 0.500 0.175 x2
6 F 0.491 0.000 0.270 x2

Properties
The value obtained for the total energy is -5.53 eV/atom. The size of the total moment is 1.00 μB/cell. As for the uncorrected formation energy: -2.864 eV/atom.

***

Q: What is the formula in the eighth record?
A: RbTlF3

***

Copy entry 10 word for word.
First-principles (PBE) data for a relaxed RbTmTl2F6 crystal, as listed in the Alexandria database.

a b c (Å): 6.497 6.923 11.370
angles (deg): 90.00 123.92 90.00
Space group P2_1/c (No. 14)
One atom of each set of equivalent atoms:
1 Rb 0.000 0.000 0.000 x2
2 Tm 0.500 0.000 0.500 x2
3 Tl 0.231 0.039 0.740 x4
4 F 0.182 0.157 0.463 x4
5 F 0.274 0.742 0.427 x4
6 F 0.395 0.063 0.287 x4

Properties
The value obtained for the total energy is -5.09 eV/atom. The size of the total moment is 0.00 μB/cell. As for the uncorrected formation energy: -2.952 eV/atom.

***

Q: Which value of size of the total moment does entry 7 give?
A: 0.00 μB/cell

***

Q: Which value of uncorrected formation energy does entry 8 give?
A: -2.100 eV/atom